The following is a DFT calculation (PBE-GGA) of a relaxed structure of Hf2Nb4Zn3N3.

Unit cell a=5.4511 b=5.4511 c=13.9711 alpha=101.05 beta=101.05 gamma=60.23
Atoms (fractional coordinates):
Nb 0.0305 0.1905 0.0826
Nb 0.6940 0.8627 0.0827
Nb 0.3060 0.1373 0.9173
N 0.3461 0.8074 0.9998
Hf 0.6315 0.4664 0.8973
Nb 0.8627 0.6940 0.5827
Hf 0.4664 0.6315 0.3973
N 0.6539 0.1926 0.0002
N 0.8074 0.3461 0.4998
Nb 0.1373 0.3060 0.4173
Zn 0.1552 0.4200 0.7508
Hf 0.5336 0.3685 0.6027
Zn 0.8448 0.5800 0.2492
Zn 0.4200 0.1552 0.2508
Zn 0.5800 0.8448 0.7492
Zn 0.0044 0.9956 0.7500
Hf 0.3685 0.5336 0.1027
N 0.0000 0.5000 0.0000
Nb 0.9695 0.8095 0.9174
Nb 0.1905 0.0305 0.5826
Nb 0.8095 0.9695 0.4174
Zn 0.9956 0.0044 0.2500
N 0.5000 0.0000 0.5000
N 0.1926 0.6539 0.5002

Energy = -8.1443 eV per atom